(1)
A PBEsol-optimized structure of Rb2TiAsO, computed with SCAN.

Calculated values
Formation energy (no corrections): -76 kJ/mol of atoms
Symmetry: P4/mmm, No. 123
Theoretical density: 3.9 g/cm³
DOS(E_F): 0.31 states/eV per atom

```
Rb2TiAsO
1.0
-3.0156 -2.3055 0.4970
-0.2364 -0.9405 -5.7975
3.6135 -4.5974 0.5985
Rb As O Ti
2 1 1 1
Direct
0.0000 0.0000 0.5000
0.0000 0.5000 0.0000
0.5000 0.5000 0.5000
0.0000 0.0000 0.0000
0.5000 0.0000 0.0000
```

---

(2)
A PBEsol-optimized structure of Rb4U3As2O16, computed with SCAN.

Calculated values
Formation energy (no corrections): -248 kJ/mol of atoms
Symmetry: P2_1/m, No. 11
Theoretical density: 5.6 g/cm³
DOS(E_F): 0.00 states/eV per atom

```
Rb4U3As2O16
1.0
7.0665 -0.0013 0.0000
-0.1153 7.0215 0.0000
0.0000 0.0000 17.3936
U O Rb As
6 32 8 4
Direct
0.7155 0.4227 0.7500
0.2161 0.4236 0.6440
0.7839 0.5764 0.1440
0.7839 0.5764 0.3560
0.2161 0.4236 0.8560
0.2845 0.5773 0.2500
0.6596 0.1852 0.9829
0.7657 0.8389 0.3630
0.8085 0.3151 0.3557
0.1071 0.6192 0.3797
0.2391 0.4218 0.9897
0.6596 0.1852 0.5171
0.6931 0.1608 0.7500
0.1071 0.6192 0.1203
0.2343 0.1611 0.6370
0.3069 0.8392 0.2500
0.3404 0.8148 0.0171
0.7609 0.5782 0.0103
0.5485 0.4777 0.6214
0.8085 0.3151 0.1443
0.1915 0.6849 0.8557
0.3404 0.8148 0.4829
0.0348 0.4043 0.7500
0.8929 0.3808 0.6203
0.6008 0.5741 0.2500
0.7351 0.6848 0.7500
0.1915 0.6849 0.6443
0.9652 0.5957 0.2500
0.4515 0.5223 0.1214
0.4515 0.5223 0.3786
0.7609 0.5782 0.4897
0.7657 0.8389 0.1370
0.3992 0.4259 0.7500
0.2649 0.3152 0.2500
0.8929 0.3808 0.8797
0.5485 0.4777 0.8786
0.2391 0.4218 0.5103
0.2343 0.1611 0.8630
0.4693 0.1023 0.3807
0.9611 0.0541 0.2500
0.5307 0.8977 0.8807
0.0000 0.0000 0.0000
0.0000 0.0000 0.5000
0.0389 0.9459 0.7500
0.4693 0.1023 0.1193
0.5307 0.8977 0.6193
0.7112 0.3994 0.9459
0.2888 0.6006 0.0541
0.2888 0.6006 0.4459
0.7112 0.3994 0.5541
```

---

(3)
A PBEsol-optimized structure of Re2AsO, computed with SCAN.

Calculated values
Formation energy (no corrections): 49 kJ/mol of atoms
Symmetry: Fm-3m, No. 225
Theoretical density: 15.3 g/cm³
DOS(E_F): 0.72 states/eV per atom

```
Re2AsO
1.0
-2.9667 -2.7230 -0.9614
-0.6064 -3.3289 2.3856
-3.3991 -0.2728 2.3477
O Re As
1 2 1
Direct
0.0000 0.0000 0.0000
0.7500 0.7500 0.7500
0.2500 0.2500 0.2500
0.5000 0.5000 0.5000
```

---

(4)
A PBEsol-optimized structure of Re2AsSO, computed with SCAN.

Calculated values
Formation energy (no corrections): 95 kJ/mol of atoms
Symmetry: P4/mmm, No. 123
Theoretical density: 11.9 g/cm³
DOS(E_F): 0.60 states/eV per atom

```
Re2AsSO
1.0
-1.9569 -2.2964 -1.5652
-0.8414 -1.9868 3.9669
-3.5950 2.6714 0.5754
As Re O S
1 2 1 1
Direct
0.5000 0.5000 0.5000
0.0000 0.0000 0.5000
0.0000 0.5000 0.0000
0.5000 0.0000 0.0000
0.0000 0.0000 0.0000
```

---

(5)
A PBEsol-optimized structure of AsRhO3, computed with SCAN.

Calculated values
Formation energy (no corrections): -21 kJ/mol of atoms
Symmetry: Pm-3m, No. 221
Theoretical density: 6.6 g/cm³
DOS(E_F): 0.39 states/eV per atom

```
AsRhO3
1.0
3.8381 0.0000 0.0000
0.0000 3.8381 0.0000
0.0000 0.0000 3.8381
O Rh As
3 1 1
Direct
0.0000 0.5000 0.0000
0.5000 0.0000 0.0000
0.0000 0.0000 0.5000
0.0000 0.0000 0.0000
0.5000 0.5000 0.5000
```

---

(6)
A PBEsol-optimized structure of AsRhO4, computed with SCAN.

Calculated values
Formation energy (no corrections): -109 kJ/mol of atoms
Symmetry: Cmmm, No. 65
Theoretical density: 6.7 g/cm³
DOS(E_F): 0.12 states/eV per atom

```
AsRhO4
1.0
-0.9435 2.8651 -0.1582
-4.1605 -1.3204 0.9001
0.8881 0.5318 4.3349
Rh O As
1 4 1
Direct
0.5000 0.5000 0.5000
0.0000 0.7053 0.7053
0.0000 0.2947 0.2947
0.5000 0.1862 0.8138
0.5000 0.8138 0.1862
0.0000 0.0000 0.0000
```

---

(7)
A PBEsol-optimized structure of AsRhO4, computed with SCAN.

Calculated values
Formation energy (no corrections): -112 kJ/mol of atoms
Symmetry: I4_1md, No. 109
Theoretical density: 6.7 g/cm³
DOS(E_F): 0.29 states/eV per atom

```
AsRhO4
1.0
-2.3058 -2.5536 -4.1517
-1.8883 -1.6701 4.7665
-1.0958 5.2586 -0.4697
O Rh As
8 2 2
Direct
0.9864 0.7949 0.8084
0.9864 0.1780 0.1916
0.5131 0.3235 0.8104
0.0449 0.7364 0.3084
0.9527 0.2631 0.6896
0.5131 0.7027 0.1896
0.4280 0.7364 0.6916
0.5735 0.2631 0.3104
0.5054 0.0054 0.5000
0.2554 0.2554 0.0000
0.7456 0.7456 0.0000
0.9956 0.4956 0.5000
```

---

(8)
A PBEsol-optimized structure of AsRuO3, computed with SCAN.

Calculated values
Formation energy (no corrections): -17 kJ/mol of atoms
Symmetry: Pm-3m, No. 221
Theoretical density: 6.7 g/cm³
DOS(E_F): 0.70 states/eV per atom

```
AsRuO3
1.0
-0.0250 -3.5444 -1.3917
3.7808 0.1425 -0.4307
0.4530 -1.3846 3.5182
As O Ru
1 3 1
Direct
0.0000 0.0000 0.0000
0.0000 0.0000 0.5000
0.0000 0.5000 0.0000
0.5000 0.0000 0.0000
0.5000 0.5000 0.5000
```

---

(9)
A PBEsol-optimized structure of ScAs2RuO, computed with SCAN.

Calculated values
Formation energy (no corrections): 9 kJ/mol of atoms
Symmetry: P4/mmm, No. 123
Theoretical density: 5.0 g/cm³
DOS(E_F): 0.52 states/eV per atom

```
ScAs2RuO
1.0
-1.8653 3.5237 -2.0702
-4.0293 -1.2053 1.5790
0.7806 2.8708 4.1831
O Sc As Ru
1 1 2 1
Direct
0.5000 0.5000 0.5000
0.0000 0.0000 0.5000
0.0000 0.5000 0.0000
0.5000 0.0000 0.0000
0.0000 0.0000 0.0000
```

---

(10)
A PBEsol-optimized structure of SbAs2O, computed with SCAN.

Calculated values
Formation energy (no corrections): 44 kJ/mol of atoms
Symmetry: Fm-3m, No. 225
Theoretical density: 7.1 g/cm³
DOS(E_F): 0.37 states/eV per atom

```
SbAs2O
1.0
-1.1300 3.7112 -2.4024
-4.1263 0.3031 -1.9243
-3.0772 2.9371 1.6511
O As Sb
1 2 1
Direct
0.0000 0.0000 0.0000
0.7500 0.7500 0.7500
0.2500 0.2500 0.2500
0.5000 0.5000 0.5000
```

---

(11)
A PBEsol-optimized structure of SbAsO2, computed with SCAN.

Calculated values
Formation energy (no corrections): 14 kJ/mol of atoms
Energy above the most stable polymorph in this dataset: 35.3 kJ/mol of atoms
Symmetry: Fm-3m, No. 225
Theoretical density: 7.3 g/cm³
DOS(E_F): 0.58 states/eV per atom

```
SbAsO2
1.0
-2.8306 -1.2573 2.8337
-0.2962 -4.0637 1.0107
1.2585 -1.3197 3.7812
As O Sb
1 2 1
Direct
0.0000 0.0000 0.0000
0.7500 0.7500 0.7500
0.2500 0.2500 0.2500
0.5000 0.5000 0.5000
```

---

(12)
A PBEsol-optimized structure of SbAsO2, computed with SCAN.

Calculated values
Formation energy (no corrections): -21 kJ/mol of atoms
Energy above the most stable polymorph in this dataset: 0.0 kJ/mol of atoms
Symmetry: I-42d, No. 122
Theoretical density: 5.5 g/cm³
DOS(E_F): 0.33 states/eV per atom

```
SbAsO2
1.0
-2.2240 -4.8217 -0.8225
4.6590 0.1674 3.9718
-1.3247 -0.2760 5.2000
As O Sb
2 4 2
Direct
0.5000 0.0000 0.5000
0.2500 0.5000 0.2500
0.8750 0.2500 0.5165
0.3750 0.2500 0.2335
0.2335 0.7500 0.8750
0.5165 0.7500 0.3750
0.0000 0.0000 0.0000
0.7500 0.5000 0.7500
```